Entry 1:
Density functional theory data (PBE-GGA) for a relaxed TbNdZnGa crystal.

Values from the calculation:
- ΔH_f (0 K) (eV/f.u.) = -1.8
- density of states at the Fermi level (states/eV per atom) = 0.987
- magnetization (μB per formula unit) = 0.000

Geometry as CIF:
```
data_TbNdZnGa
_chemical_formula_sum 'Tb4 Nd4 Zn4 Ga4'
_space_group_name_H-M_alt 'F -4 3 m'
_space_group_IT_number 216
_space_group_name_Hall 'F -4 2 3'
_cell_length_a 7.2922
_cell_length_b 7.2922
_cell_length_c 7.2922
_cell_angle_alpha 90.00
_cell_angle_beta 90.00
_cell_angle_gamma 90.00
loop_
_atom_site_label
_atom_site_type_symbol
_atom_site_fract_x
_atom_site_fract_y
_atom_site_fract_z
_atom_site_occupancy
Tb1 Tb 0.0000 0.0000 0.0000 1
Nd1 Nd 0.0000 0.0000 0.5000 1
Zn1 Zn 0.2500 0.2500 0.7500 1
Ga1 Ga 0.2500 0.2500 0.2500 1
```


Entry 2:
Density functional theory data (PBE-GGA) for a relaxed Nd12Ga6Tc crystal.

Values from the calculation:
- ΔH_f (0 K) (eV/f.u.) = -4.4
- density of states at the Fermi level (states/eV per atom) = 1.058
- magnetization (μB per formula unit) = 0.000

Geometry as CIF:
```
data_Nd12Ga6Tc
_chemical_formula_sum 'Nd36 Ga18 Tc3'
_space_group_name_H-M_alt 'R -3'
_space_group_IT_number 148
_space_group_name_Hall '-R 3'
_cell_length_a 11.9883
_cell_length_b 11.9883
_cell_length_c 13.6059
_cell_angle_alpha 90.00
_cell_angle_beta 90.00
_cell_angle_gamma 120.00
loop_
_atom_site_label
_atom_site_type_symbol
_atom_site_fract_x
_atom_site_fract_y
_atom_site_fract_z
_atom_site_occupancy
Nd1 Nd 0.0383 0.1984 0.3921 1
Nd2 Nd 0.0403 0.8409 0.8763 1
Ga1 Ga 0.0063 0.4039 0.2605 1
Tc1 Tc 0.0000 0.0000 0.0000 1
```


Entry 3:
Density functional theory data (PBE-GGA) for a relaxed NdGa12Tc4 crystal.

Values from the calculation:
- ΔH_f (0 K) (eV/f.u.) = -0.2
- density of states at the Fermi level (states/eV per atom) = 0.320
- magnetization (μB per formula unit) = 0.000

Geometry as CIF:
```
data_NdGa12Tc4
_chemical_formula_sum 'Nd2 Ga24 Tc8'
_space_group_name_H-M_alt 'I m -3 m'
_space_group_IT_number 229
_space_group_name_Hall '-I 4 2 3'
_cell_length_a 9.6025
_cell_length_b 9.6025
_cell_length_c 9.6025
_cell_angle_alpha 90.00
_cell_angle_beta 90.00
_cell_angle_gamma 90.00
loop_
_atom_site_label
_atom_site_type_symbol
_atom_site_fract_x
_atom_site_fract_y
_atom_site_fract_z
_atom_site_occupancy
Nd1 Nd 0.0000 0.0000 0.0000 1
Ga1 Ga 0.0000 0.2627 0.2627 1
Tc1 Tc 0.2500 0.2500 0.2500 1
```


Entry 4:
Density functional theory data (PBE-GGA) for a relaxed Nd4Ga12Tc crystal.

Values from the calculation:
- ΔH_f (0 K) (eV/f.u.) = -9.3
- density of states at the Fermi level (states/eV per atom) = 0.671
- magnetization (μB per formula unit) = 0.000

Geometry as CIF:
```
data_Nd4Ga12Tc
_chemical_formula_sum 'Nd8 Ga24 Tc2'
_space_group_name_H-M_alt 'I m -3 m'
_space_group_IT_number 229
_space_group_name_Hall '-I 4 2 3'
_cell_length_a 8.8071
_cell_length_b 8.8071
_cell_length_c 8.8071
_cell_angle_alpha 90.00
_cell_angle_beta 90.00
_cell_angle_gamma 90.00
loop_
_atom_site_label
_atom_site_type_symbol
_atom_site_fract_x
_atom_site_fract_y
_atom_site_fract_z
_atom_site_occupancy
Nd1 Nd 0.2500 0.2500 0.2500 1
Ga1 Ga 0.0000 0.0000 0.2895 1
Ga2 Ga 0.0000 0.2500 0.5000 1
Tc1 Tc 0.0000 0.0000 0.0000 1
```


Entry 5:
Density functional theory data (PBE-GGA) for a relaxed Nd3Ga9Tc2 crystal.

Values from the calculation:
- ΔH_f (0 K) (eV/f.u.) = -6.7
- density of states at the Fermi level (states/eV per atom) = 0.559
- magnetization (μB per formula unit) = 0.000

Geometry as CIF:
```
data_Nd3Ga9Tc2
_chemical_formula_sum 'Nd6 Ga18 Tc4'
_space_group_name_H-M_alt 'I m m m'
_space_group_IT_number 71
_space_group_name_Hall '-I 2 2'
_cell_length_a 4.3224
_cell_length_b 9.5355
_cell_length_c 12.9729
_cell_angle_alpha 90.00
_cell_angle_beta 90.00
_cell_angle_gamma 90.00
loop_
_atom_site_label
_atom_site_type_symbol
_atom_site_fract_x
_atom_site_fract_y
_atom_site_fract_z
_atom_site_occupancy
Nd1 Nd 0.0000 0.0000 0.0000 1
Nd2 Nd 0.0000 0.0000 0.3013 1
Ga1 Ga 0.0000 0.2834 0.1291 1
Ga2 Ga 0.0000 0.3614 0.3473 1
Ga3 Ga 0.0000 0.5000 0.0000 1
Tc1 Tc 0.0000 0.1789 0.5000 1
```


Entry 6:
Density functional theory data (PBE-GGA) for a relaxed Nd2Ga6Tc crystal.

Values from the calculation:
- ΔH_f (0 K) (eV/f.u.) = -4.3
- density of states at the Fermi level (states/eV per atom) = 0.475
- magnetization (μB per formula unit) = 0.000

Geometry as CIF:
```
data_Nd2Ga6Tc
_chemical_formula_sum 'Nd2 Ga6 Tc1'
_space_group_name_H-M_alt 'P -3 m 1'
_space_group_IT_number 164
_space_group_name_Hall '-P 3 2"'
_cell_length_a 5.9954
_cell_length_b 5.9954
_cell_length_c 5.7151
_cell_angle_alpha 90.00
_cell_angle_beta 90.00
_cell_angle_gamma 120.00
loop_
_atom_site_label
_atom_site_type_symbol
_atom_site_fract_x
_atom_site_fract_y
_atom_site_fract_z
_atom_site_occupancy
Nd1 Nd 0.3333 0.6667 0.1762 1
Ga1 Ga 0.1738 0.3475 0.6820 1
Tc1 Tc 0.0000 0.0000 0.0000 1
```


Entry 7:
Density functional theory data (PBE-GGA) for a relaxed NdGa3Tc crystal.

Values from the calculation:
- ΔH_f (0 K) (eV/f.u.) = -2.1
- density of states at the Fermi level (states/eV per atom) = 0.832
- magnetization (μB per formula unit) = 0.003
- polymorph energy (0 for the lowest one) (meV per atom) = 0

Geometry as CIF:
```
data_NdGa3Tc
_chemical_formula_sum 'Nd2 Ga6 Tc2'
_space_group_name_H-M_alt 'P 63/m m c'
_space_group_IT_number 194
_space_group_name_Hall '-P 6c 2c'
_cell_length_a 6.3293
_cell_length_b 6.3293
_cell_length_c 5.6255
_cell_angle_alpha 90.00
_cell_angle_beta 90.00
_cell_angle_gamma 120.00
loop_
_atom_site_label
_atom_site_type_symbol
_atom_site_fract_x
_atom_site_fract_y
_atom_site_fract_z
_atom_site_occupancy
Nd1 Nd 0.3333 0.6667 0.2500 1
Ga1 Ga 0.1949 0.3897 0.7500 1
Tc1 Tc 0.0000 0.0000 0.0000 1
```


Entry 8:
Density functional theory data (PBE-GGA) for a relaxed NdGa8Tc2 crystal.

Values from the calculation:
- ΔH_f (0 K) (eV/f.u.) = -0.5
- density of states at the Fermi level (states/eV per atom) = 0.702
- magnetization (μB per formula unit) = 0.000

Geometry as CIF:
```
data_NdGa8Tc2
_chemical_formula_sum 'Nd1 Ga8 Tc2'
_space_group_name_H-M_alt 'P 4/m m m'
_space_group_IT_number 123
_space_group_name_Hall '-P 4 2'
_cell_length_a 6.3912
_cell_length_b 6.3912
_cell_length_c 5.3303
_cell_angle_alpha 90.00
_cell_angle_beta 90.00
_cell_angle_gamma 90.00
loop_
_atom_site_label
_atom_site_type_symbol
_atom_site_fract_x
_atom_site_fract_y
_atom_site_fract_z
_atom_site_occupancy
Nd1 Nd 0.0000 0.0000 0.0000 1
Ga1 Ga 0.2905 0.2905 0.2527 1
Tc1 Tc 0.0000 0.5000 0.5000 1
```


Entry 9:
Density functional theory data (PBE-GGA) for a relaxed NdGa3Tc3 crystal.

Values from the calculation:
- ΔH_f (0 K) (eV/f.u.) = 4.5
- density of states at the Fermi level (states/eV per atom) = 1.351
- magnetization (μB per formula unit) = 1.428

Geometry as CIF:
```
data_NdGa3Tc3
_chemical_formula_sum 'Nd2 Ga6 Tc6'
_space_group_name_H-M_alt 'P m -3 n'
_space_group_IT_number 223
_space_group_name_Hall '-P 4n 2 3'
_cell_length_a 6.7921
_cell_length_b 6.7921
_cell_length_c 6.7921
_cell_angle_alpha 90.00
_cell_angle_beta 90.00
_cell_angle_gamma 90.00
loop_
_atom_site_label
_atom_site_type_symbol
_atom_site_fract_x
_atom_site_fract_y
_atom_site_fract_z
_atom_site_occupancy
Nd1 Nd 0.0000 0.0000 0.0000 1
Ga1 Ga 0.0000 0.2500 0.5000 1
Tc1 Tc 0.0000 0.5000 0.2500 1
```


Entry 10:
Density functional theory data (PBE-GGA) for a relaxed NdGaTc crystal.

Values from the calculation:
- ΔH_f (0 K) (eV/f.u.) = -0.4
- density of states at the Fermi level (states/eV per atom) = 1.071
- magnetization (μB per formula unit) = 0.929
- polymorph energy (0 for the lowest one) (meV per atom) = 0

Geometry as CIF:
```
data_NdGaTc
_chemical_formula_sum 'Nd3 Ga3 Tc3'
_space_group_name_H-M_alt 'P -6 2 m'
_space_group_IT_number 189
_space_group_name_Hall 'P -6 -2'
_cell_length_a 6.9723
_cell_length_b 6.9723
_cell_length_c 4.5460
_cell_angle_alpha 90.00
_cell_angle_beta 90.00
_cell_angle_gamma 120.00
loop_
_atom_site_label
_atom_site_type_symbol
_atom_site_fract_x
_atom_site_fract_y
_atom_site_fract_z
_atom_site_occupancy
Nd1 Nd 0.0000 0.4325 0.0000 1
Ga1 Ga 0.0000 0.0000 0.0000 1
Ga2 Ga 0.3333 0.6667 0.5000 1
Tc1 Tc 0.0000 0.7874 0.5000 1
```


Entry 11:
Density functional theory data (PBE-GGA) for a relaxed NdGaTc crystal.

Values from the calculation:
- ΔH_f (0 K) (eV/f.u.) = -0.4
- density of states at the Fermi level (states/eV per atom) = 0.723
- magnetization (μB per formula unit) = 0.000
- polymorph energy (0 for the lowest one) (meV per atom) = 6

Geometry as CIF:
```
data_NdGaTc
_chemical_formula_sum 'Nd1 Ga1 Tc1'
_space_group_name_H-M_alt 'P -6 m 2'
_space_group_IT_number 187
_space_group_name_Hall 'P -6 2'
_cell_length_a 4.3953
_cell_length_b 4.3953
_cell_length_c 3.9041
_cell_angle_alpha 90.00
_cell_angle_beta 90.00
_cell_angle_gamma 120.00
loop_
_atom_site_label
_atom_site_type_symbol
_atom_site_fract_x
_atom_site_fract_y
_atom_site_fract_z
_atom_site_occupancy
Nd1 Nd 0.0000 0.0000 0.0000 1
Ga1 Ga 0.3333 0.6667 0.5000 1
Tc1 Tc 0.6667 0.3333 0.5000 1
```


Entry 12:
Density functional theory data (PBE-GGA) for a relaxed NdGa3Tc crystal.

Values from the calculation:
- ΔH_f (0 K) (eV/f.u.) = -1.6
- density of states at the Fermi level (states/eV per atom) = 0.363
- magnetization (μB per formula unit) = 0.000
- polymorph energy (0 for the lowest one) (meV per atom) = 91

Geometry as CIF:
```
data_NdGa3Tc
_chemical_formula_sum 'Nd1 Ga3 Tc1'
_space_group_name_H-M_alt 'P m -3 m'
_space_group_IT_number 221
_space_group_name_Hall '-P 4 2 3'
_cell_length_a 4.7828
_cell_length_b 4.7828
_cell_length_c 4.7828
_cell_angle_alpha 90.00
_cell_angle_beta 90.00
_cell_angle_gamma 90.00
loop_
_atom_site_label
_atom_site_type_symbol
_atom_site_fract_x
_atom_site_fract_y
_atom_site_fract_z
_atom_site_occupancy
Nd1 Nd 0.0000 0.0000 0.0000 1
Ga1 Ga 0.0000 0.5000 0.5000 1
Tc1 Tc 0.5000 0.5000 0.5000 1
```


Entry 13:
Density functional theory data (PBE-GGA) for a relaxed NdGa5Tc crystal.

Values from the calculation:
- ΔH_f (0 K) (eV/f.u.) = -2.7
- density of states at the Fermi level (states/eV per atom) = 0.380
- magnetization (μB per formula unit) = 0.000

Geometry as CIF:
```
data_NdGa5Tc
_chemical_formula_sum 'Nd1 Ga5 Tc1'
_space_group_name_H-M_alt 'P 4/m m m'
_space_group_IT_number 123
_space_group_name_Hall '-P 4 2'
_cell_length_a 4.3918
_cell_length_b 4.3918
_cell_length_c 7.1084
_cell_angle_alpha 90.00
_cell_angle_beta 90.00
_cell_angle_gamma 90.00
loop_
_atom_site_label
_atom_site_type_symbol
_atom_site_fract_x
_atom_site_fract_y
_atom_site_fract_z
_atom_site_occupancy
Nd1 Nd 0.0000 0.0000 0.0000 1
Ga1 Ga 0.0000 0.5000 0.3101 1
Ga2 Ga 0.5000 0.5000 0.0000 1
Tc1 Tc 0.0000 0.0000 0.5000 1
```


Entry 14:
Density functional theory data (PBE-GGA) for a relaxed Nd2GaTe crystal.

Values from the calculation:
- uncorrected formation energy (eV per atom) = -0.822
- density of states at the Fermi level (states/eV per atom) = 0.815
- magnetization (μB per formula unit) = 0.001
- polymorph energy (0 for the lowest one) (meV per atom) = 210

Geometry as CIF:
```
data_Nd2GaTe
_chemical_formula_sum 'Nd6 Ga3 Te3'
_space_group_name_H-M_alt 'R 3 m'
_space_group_IT_number 160
_space_group_name_Hall 'R 3 -2"'
_cell_length_a 4.1590
_cell_length_b 4.1590
_cell_length_c 24.8122
_cell_angle_alpha 90.00
_cell_angle_beta 90.00
_cell_angle_gamma 120.00
loop_
_atom_site_label
_atom_site_type_symbol
_atom_site_fract_x
_atom_site_fract_y
_atom_site_fract_z
_atom_site_occupancy
Nd1 Nd 0.0000 0.0000 0.0000 1
Nd2 Nd 0.0000 0.0000 0.1655 1
Ga1 Ga 0.0000 0.0000 0.7503 1
Te1 Te 0.0000 0.0000 0.5815 1
```


Entry 15:
Density functional theory data (PBE-GGA) for a relaxed Nd6Ga3Te crystal.

Values from the calculation:
- uncorrected formation energy (eV per atom) = -0.487
- density of states at the Fermi level (states/eV per atom) = 1.008
- magnetization (μB per formula unit) = 0.000

Geometry as CIF:
```
data_Nd6Ga3Te
_chemical_formula_sum 'Nd24 Ga12 Te4'
_space_group_name_H-M_alt 'C m c 21'
_space_group_IT_number 36
_cell_length_a 10.5771
_cell_length_b 14.5224
_cell_length_c 7.8689
_cell_angle_alpha 90.00
_cell_angle_beta 90.00
_cell_angle_gamma 90.00
loop_
_space_group_symop_operation_xyz
'x,y,z'
'-x,-y,z+1/2'
'-x,y,z'
'x,-y,z+1/2'
'x+1/2,y+1/2,z'
'-x+1/2,-y+1/2,z+1/2'
'-x+1/2,y+1/2,z'
'x+1/2,-y+1/2,z+1/2'
loop_
_atom_site_label
_atom_site_type_symbol
_atom_site_fract_x
_atom_site_fract_y
_atom_site_fract_z
_atom_site_occupancy
Nd1 Nd 0.0000 0.0097 0.0000 1
Nd2 Nd 0.0000 0.2931 0.0775 1
Nd3 Nd 0.1890 0.2907 0.5050 1
Nd4 Nd 0.2101 0.4646 0.1536 1
Ga1 Ga 0.0000 0.4473 0.4163 1
Ga2 Ga 0.1334 0.1300 0.2742 1
Te1 Te 0.0000 0.1704 0.7399 1
```


Entry 16:
Density functional theory data (PBE-GGA) for a relaxed Nd2GaTe crystal.

Values from the calculation:
- uncorrected formation energy (eV per atom) = -0.828
- density of states at the Fermi level (states/eV per atom) = 0.929
- magnetization (μB per formula unit) = 0.000
- polymorph energy (0 for the lowest one) (meV per atom) = 204

Geometry as CIF:
```
data_Nd2GaTe
_chemical_formula_sum 'Nd2 Ga1 Te1'
_space_group_name_H-M_alt 'P 4/m m m'
_space_group_IT_number 123
_space_group_name_Hall '-P 4 2'
_cell_length_a 3.7571
_cell_length_b 3.7571
_cell_length_c 7.8795
_cell_angle_alpha 90.00
_cell_angle_beta 90.00
_cell_angle_gamma 90.00
loop_
_atom_site_label
_atom_site_type_symbol
_atom_site_fract_x
_atom_site_fract_y
_atom_site_fract_z
_atom_site_occupancy
Nd1 Nd 0.0000 0.0000 0.2440 1
Ga1 Ga 0.5000 0.5000 0.0000 1
Te1 Te 0.5000 0.5000 0.5000 1
```


Entry 17:
Density functional theory data (PBE-GGA) for a relaxed Nd4GaTe3 crystal.

Values from the calculation:
- uncorrected formation energy (eV per atom) = -1.262
- density of states at the Fermi level (states/eV per atom) = 0.206
- magnetization (μB per formula unit) = 0.000
- polymorph energy (0 for the lowest one) (meV per atom) = 0

Geometry as CIF:
```
data_Nd4GaTe3
_chemical_formula_sum 'Nd8 Ga2 Te6'
_space_group_name_H-M_alt 'P 1 2/c 1'
_space_group_IT_number 13
_cell_length_a 7.7681
_cell_length_b 8.9744
_cell_length_c 7.7032
_cell_angle_alpha 90.00
_cell_angle_beta 109.50
_cell_angle_gamma 90.00
loop_
_space_group_symop_operation_xyz
'x,y,z'
'-x,-y,-z'
'-x,y,-z+1/2'
'x,-y,z+1/2'
loop_
_atom_site_label
_atom_site_type_symbol
_atom_site_fract_x
_atom_site_fract_y
_atom_site_fract_z
_atom_site_occupancy
Nd1 Nd 0.2333 0.1167 0.0012 1
Nd2 Nd 0.2371 0.3584 0.4856 1
Ga1 Ga 0.0000 0.1236 0.2500 1
Te1 Te 0.0000 0.3772 0.7500 1
Te2 Te 0.5000 0.1250 0.7500 1
Te3 Te 0.5000 0.3793 0.2500 1
```


Entry 18:
Density functional theory data (PBE-GGA) for a relaxed Nd3GaTe6 crystal.

Values from the calculation:
- uncorrected formation energy (eV per atom) = -1.153
- magnetization (μB per formula unit) = 0.000

Geometry as CIF:
```
data_Nd3GaTe6
_chemical_formula_sum 'Nd12 Ga4 Te24'
_space_group_name_H-M_alt 'C m c 21'
_space_group_IT_number 36
_cell_length_a 12.3853
_cell_length_b 15.2793
_cell_length_c 7.4037
_cell_angle_alpha 90.00
_cell_angle_beta 90.00
_cell_angle_gamma 90.00
loop_
_space_group_symop_operation_xyz
'x,y,z'
'-x,-y,z+1/2'
'-x,y,z'
'x,-y,z+1/2'
'x+1/2,y+1/2,z'
'-x+1/2,-y+1/2,z+1/2'
'-x+1/2,y+1/2,z'
'x+1/2,-y+1/2,z+1/2'
loop_
_atom_site_label
_atom_site_type_symbol
_atom_site_fract_x
_atom_site_fract_y
_atom_site_fract_z
_atom_site_occupancy
Nd1 Nd 0.0000 0.0955 0.0000 1
Nd2 Nd 0.1807 0.4040 0.8847 1
Ga1 Ga 0.0000 0.2961 0.3519 1
Te1 Te 0.0000 0.2782 0.7088 1
Te2 Te 0.0000 0.4595 0.2060 1
Te3 Te 0.1631 0.0380 0.6942 1
Te4 Te 0.1691 0.2340 0.1709 1
```